# Pm4Pr2Sm2Er | Alexandria | PBE | relaxed
# DOS at the Fermi energy = 11.48 states/eV/f.u.
# VASP energy = -4.719 eV per atom
# Magnetization = 0.00 μB/f.u.
# Crystal system = monoclinic
# Formation energy from the elements = 10 meV per atom
data_Pm4Pr2Sm2Er
_cell_length_a 3.677
_cell_length_b 9.695
_cell_length_c 9.775
_cell_angle_alpha 115.04
_cell_angle_beta 90.00
_cell_angle_gamma 100.93
_space_group_name_H-M_alt 'P 1'
_space_group_IT_number 1
loop_
_space_group_symop_operation_xyz
'x,y,z'
loop_
_atom_site_label
_atom_site_type_symbol
_atom_site_fract_x
_atom_site_fract_y
_atom_site_fract_z
Pm1 Pm 0.185 0.371 0.333
Pr1 Pr 0.665 0.330 0.999
Pm2 Pm 0.481 0.963 0.669
Pr2 Pr 0.335 0.670 0.001
Sm1 Sm 0.147 0.294 0.666
Sm2 Sm 0.853 0.706 0.334
Pm3 Pm 0.815 0.629 0.667
Pm4 Pm 0.519 0.037 0.331
Er1 Er 0.000 0.000 0.000